[1]
NaZnCl2 PBE-GGA optimized geometry; total magnetic moment = 0.000 μB per formula unit; formation energy (no corrections) = -72.2 kJ/mol of atoms; calculated total energy = -2.3200 eV per atom; distance to the lowest polymorph of the same formula = 84 kJ/mol of formula units; V = 29.88 Å³ per atom
1.0
1.814 1.047 10.484
-1.814 1.047 10.484
0.000 -2.095 10.484
Na Zn Cl
1 1 2
direct
0.000 0.000 0.000
0.500 0.500 0.500
0.123 0.123 0.123
0.877 0.877 0.877


[2]
La6Ru2ICl3 PBE-GGA optimized geometry; total magnetic moment = 0.000 μB per formula unit; formation energy (no corrections) = -107.4 kJ/mol of atoms; calculated total energy = -5.7132 eV per atom; V = 29.63 Å³ per atom
1.0
9.405 -2.113 0.000
9.405 2.113 0.000
-1.838 0.000 8.947
La Ru I Cl
6 2 1 3
direct
0.026 0.026 0.285
0.315 0.315 0.861
0.325 0.325 0.433
0.675 0.675 0.567
0.685 0.685 0.139
0.974 0.974 0.715
0.171 0.171 0.337
0.829 0.829 0.663
0.500 0.500 0.000
0.149 0.149 0.831
0.500 0.500 0.500
0.851 0.851 0.169


[3]
Li2AcCu9 PBE-GGA optimized geometry; total magnetic moment = 0.000 μB per formula unit; calculated total energy = -3.8396 eV per atom; formation enthalpy at 0 K = -1.27 eV/f.u.; V = 14.99 Å³ per atom
1.0
8.455 0.000 0.000
0.000 8.455 0.000
0.000 0.000 5.033
Li Ac Cu
4 2 18
direct
0.111 0.389 0.000
0.389 0.889 0.000
0.611 0.111 0.000
0.889 0.611 0.000
0.000 0.000 0.000
0.500 0.500 0.000
0.000 0.500 0.500
0.065 0.215 0.500
0.179 0.679 0.246
0.179 0.679 0.754
0.215 0.935 0.500
0.285 0.435 0.500
0.321 0.179 0.246
0.321 0.179 0.754
0.435 0.715 0.500
0.500 0.000 0.500
0.565 0.285 0.500
0.679 0.821 0.246
0.679 0.821 0.754
0.715 0.565 0.500
0.785 0.065 0.500
0.821 0.321 0.246
0.821 0.321 0.754
0.935 0.785 0.500


[4]
SrAc5Nd PBE-GGA optimized geometry; total magnetic moment = 0.000 μB per formula unit; calculated total energy = -3.6114 eV per atom; formation enthalpy at 0 K = 1.71 eV/f.u.; V = 47.28 Å³ per atom
1.0
5.923 0.000 0.000
0.000 5.923 0.000
0.000 0.000 9.433
Sr Ac Nd
1 5 1
direct
0.000 0.000 0.000
0.000 0.500 0.289
0.000 0.500 0.711
0.500 0.000 0.289
0.500 0.000 0.711
0.500 0.500 0.000
0.000 0.000 0.500


[5]
BaLi5Pb7 PBE-GGA optimized geometry; total magnetic moment = 0.000 μB per formula unit; calculated total energy = -3.1572 eV per atom; formation enthalpy at 0 K = -3.59 eV/f.u.; V = 26.26 Å³ per atom
1.0
-3.128 5.314 5.133
3.128 -5.314 5.133
3.128 5.314 -5.133
Ba Li Pb
1 5 7
direct
0.000 0.000 0.000
0.000 0.506 0.012
0.000 0.988 0.494
0.494 0.506 0.506
0.494 0.988 0.988
0.756 0.256 0.500
0.189 0.487 0.702
0.228 0.728 0.500
0.350 0.350 0.000
0.352 0.008 0.344
0.653 0.653 0.000
0.664 0.008 0.656
0.784 0.487 0.298


[6]
KYZnCl6 PBE-GGA optimized geometry; total magnetic moment = 0.000 μB per formula unit; formation energy (no corrections) = -176.3 kJ/mol of atoms; calculated total energy = -4.0401 eV per atom; V = 30.28 Å³ per atom
1.0
6.722 0.000 0.000
-3.361 5.821 0.000
0.000 0.000 13.931
K Y Zn Cl
2 2 2 12
direct
0.000 0.000 0.000
0.000 0.000 0.500
0.333 0.667 0.250
0.667 0.333 0.750
0.333 0.667 0.750
0.667 0.333 0.250
0.017 0.381 0.645
0.017 0.636 0.855
0.364 0.381 0.855
0.364 0.983 0.645
0.381 0.017 0.145
0.381 0.364 0.355
0.619 0.636 0.645
0.619 0.983 0.855
0.636 0.017 0.355
0.636 0.619 0.145
0.983 0.364 0.145
0.983 0.619 0.355


[7]
PrPd12Pt6 PBE-GGA optimized geometry; total magnetic moment = 2.751 μB per formula unit; calculated total energy = -5.2475 eV per atom; formation enthalpy at 0 K = 3.64 eV/f.u.; V = 17.53 Å³ per atom
1.0
-4.367 4.367 4.367
4.367 -4.367 4.367
4.367 4.367 -4.367
Pr Pd Pt
1 12 6
direct
0.000 0.000 0.000
0.085 0.819 0.266
0.181 0.266 0.447
0.181 0.734 0.915
0.266 0.085 0.819
0.266 0.447 0.181
0.447 0.181 0.266
0.553 0.819 0.734
0.734 0.553 0.819
0.734 0.915 0.181
0.819 0.266 0.085
0.819 0.734 0.553
0.915 0.181 0.734
0.144 0.644 0.500
0.356 0.500 0.856
0.500 0.144 0.644
0.500 0.856 0.356
0.644 0.500 0.144
0.856 0.356 0.500


[8]
RuAu3 PBE-GGA optimized geometry; total magnetic moment = 1.718 μB per formula unit; calculated total energy = -4.5099 eV per atom; formation enthalpy at 0 K = 1.07 eV/f.u.; V = 17.16 Å³ per atom
1.0
2.859 0.000 0.000
0.000 2.859 0.000
0.000 0.000 8.398
Ru Au
1 3
direct
0.000 0.000 0.000
0.000 0.000 0.500
0.500 0.500 0.238
0.500 0.500 0.762